(1)
A geometry-optimized YAsOsSe2 structure. Source: the Alexandria database, functional GGA-PBE.

## Properties
Energy above the lowest structure with this stoichiometry ... 1179 meV per atom
Spin magnetization ... 3.51 μB per formula unit
Raw formation energy ... 1.1287 eV/atom
Calculated total energy ... -4.734 eV per atom
Crystal system ... tetragonal

abc: 5.3145 5.3145 5.5566
angles: 90.00 90.00 90.00
With the nearest neighbours (Å) after each atom.
Element x y z (fractional)
1 Y 0.0000 0.0000 0.0000  4 Se 2.66, 2 As 2.78
2 As 0.0000 0.0000 0.5000  2 Y 2.78
3 Os 0.5000 0.5000 0.5000  4 As 3.76, 8 Se 3.84
4 Se 0.0000 0.5000 0.0000  2 Y 2.66
5 Se 0.5000 0.0000 0.0000  2 Y 2.66


(2)
A geometry-optimized Ti2Tl2Cl structure. Source: the Alexandria database, functional GGA-PBE.

## Properties
Spin magnetization ... 0.00 μB per formula unit
Raw formation energy ... -0.1398 eV/atom
Calculated total energy ... -4.614 eV per atom
Crystal system ... tetragonal

abc: 6.4919 6.4919 4.8887
angles: 90.00 90.00 90.00
With the nearest neighbours (Å) after each atom.
Element x y z (fractional)
1 Tl 0.1650 0.6650 0.5000  6 Ti 2.98-3.18, 1 Tl 3.03
2 Tl 0.6650 0.8350 0.5000  6 Ti 2.98-3.18, 1 Tl 3.03
3 Tl 0.8350 0.3350 0.5000  6 Ti 2.98-3.18, 1 Tl 3.03
4 Tl 0.3350 0.1650 0.5000  6 Ti 2.98-3.18, 1 Tl 3.03
5 Cl 0.0000 0.0000 0.0000  4 Ti 2.48
6 Cl 0.5000 0.5000 0.0000  4 Ti 2.48
7 Ti 0.3514 0.8514 0.0000  2 Cl 2.48, 1 Ti 2.73
8 Ti 0.8514 0.6486 0.0000  2 Cl 2.48, 1 Ti 2.73
9 Ti 0.6486 0.1486 0.0000  2 Cl 2.48, 1 Ti 2.73
10 Ti 0.1486 0.3514 0.0000  2 Cl 2.48, 1 Ti 2.73


(3)
A geometry-optimized CaMgBr3 structure. Source: the Alexandria database, functional GGA-PBE.

## Properties
Energy above the lowest structure with this stoichiometry ... 0 meV per atom
Spin magnetization ... 1.00 μB per formula unit
Raw formation energy ... -1.2010 eV/atom
Calculated total energy ... -2.924 eV per atom
Crystal system ... cubic

abc: 5.6567 5.6567 5.6567
angles: 90.00 90.00 90.00
With the nearest neighbours (Å) after each atom.
Element x y z (fractional)
1 Ca 0.0000 0.0000 0.0000  6 Br 2.83
2 Mg 0.5000 0.5000 0.5000  12 Br 4.00
3 Br 0.0000 0.5000 0.0000  2 Ca 2.83
4 Br 0.0000 0.0000 0.5000  2 Ca 2.83
5 Br 0.5000 0.0000 0.0000  2 Ca 2.83


(4)
A geometry-optimized Th3CuBi2 structure. Source: the Alexandria database, functional GGA-PBE.

## Properties
Spin magnetization ... 0.00 μB per formula unit
Calculated total energy ... -6.008 eV per atom
Crystal system ... monoclinic

abc: 6.3858 8.6065 7.8641
angles: 105.85 113.95 90.00
With the nearest neighbours (Å) after each atom.
Element x y z (fractional)
1 Th 0.5004 0.2500 0.0000  2 Cu 3.19, 4 Bi 3.25
2 Th 0.4996 0.7500 0.0000  2 Cu 3.19, 4 Bi 3.25
3 Th 0.1442 0.0724 0.2882  2 Cu 2.92, 4 Bi 3.23-3.26
4 Th 0.8560 0.4276 0.7118  2 Cu 2.92, 4 Bi 3.23-3.26
5 Th 0.1440 0.5724 0.2882  2 Cu 2.92, 4 Bi 3.23-3.26
6 Th 0.8558 0.9276 0.7118  2 Cu 2.92, 4 Bi 3.23-3.26
7 Cu 0.9994 0.7500 0.0000  6 Th 2.92-3.19
8 Cu 0.0006 0.2500 0.0000  6 Th 2.92-3.19
9 Bi 0.6778 0.5887 0.3557  6 Th 3.23-3.26
10 Bi 0.6779 0.0887 0.3557  6 Th 3.23-3.26
11 Bi 0.3221 0.9113 0.6443  6 Th 3.23-3.26
12 Bi 0.3222 0.4113 0.6443  6 Th 3.23-3.26


(5)
A geometry-optimized Ac3Si2AgPd9 structure. Source: the Alexandria database, functional GGA-PBE.

## Properties
Spin magnetization ... 0.00 μB per formula unit
Raw formation energy ... -0.6429 eV/atom
Calculated total energy ... -5.493 eV per atom
Crystal system ... trigonal

abc: 5.9761 5.9761 10.6367
angles: 90.00 90.00 120.00
With the nearest neighbours (Å) after each atom.
Element x y z (fractional)
1 Ac 0.3333 0.6667 0.6281  6 Pd 3.09
2 Ac 0.0000 0.0000 0.0000  6 Pd 2.99
3 Ac 0.6667 0.3333 0.3719  6 Pd 3.09
4 Si 0.3333 0.6667 0.1571  6 Pd 2.33-2.40
5 Si 0.6667 0.3333 0.8429  6 Pd 2.33-2.40
6 Ag 0.0000 0.0000 0.5000  6 Pd 2.73
7 Pd 0.8397 0.1603 0.7034  1 Si 2.33
8 Pd 0.8397 0.6793 0.7034  1 Si 2.33
9 Pd 0.3207 0.1603 0.7034  1 Si 2.33
10 Pd 0.6793 0.8397 0.2966  1 Si 2.33
11 Pd 0.1603 0.3207 0.2966  1 Si 2.33
12 Pd 0.1603 0.8397 0.2966  1 Si 2.33
13 Pd 0.5000 0.0000 0.0000  2 Si 2.40
14 Pd 0.0000 0.5000 0.0000  2 Si 2.40
15 Pd 0.5000 0.5000 0.0000  2 Si 2.40


(6)
A geometry-optimized Mo2RuW structure. Source: the Alexandria database, functional GGA-PBE.

## Properties
Energy above the lowest structure with this stoichiometry ... 44 meV per atom
Spin magnetization ... 0.00 μB per formula unit
Calculated total energy ... -10.819 eV per atom
Crystal system ... tetragonal

abc: 4.4667 4.4667 3.1154
angles: 90.00 90.00 90.00
With the nearest neighbours (Å) after each atom.
Element x y z (fractional)
1 Mo 0.0000 0.0000 0.0000  4 Ru 2.72, 4 W 2.72
2 Mo 0.5000 0.5000 0.0000  4 Ru 2.72, 4 W 2.72
3 Ru 0.5000 0.0000 0.5000  8 Mo 2.72
4 W 0.0000 0.5000 0.5000  8 Mo 2.72


(7)
A geometry-optimized CoReAs2 structure. Source: the Alexandria database, functional GGA-PBE.

## Properties
Energy above the lowest structure with this stoichiometry ... 71 meV per atom
Spin magnetization ... 0.00 μB per formula unit
Calculated total energy ... -7.064 eV per atom
Crystal system ... monoclinic

abc: 4.5372 4.5372 4.4097
angles: 76.93 76.93 40.78
With the nearest neighbours (Å) after each atom.
Element x y z (fractional)
1 As 0.9944 0.9944 0.0494  3 Re 2.49-2.50, 2 Co 2.57
2 As 0.7584 0.7584 0.6646  3 Co 2.41-2.46, 2 Re 2.62
3 Co 0.4861 0.4861 0.5951  5 As 2.41-2.57
4 Re 0.2611 0.2611 0.1909  5 As 2.49-2.62


(8)
A geometry-optimized CeHf2Pd9 structure. Source: the Alexandria database, functional GGA-PBE.

## Properties
Spin magnetization ... 0.53 μB per formula unit
Calculated total energy ... -6.892 eV per atom
Crystal system ... tetragonal

abc: 4.0633 4.0633 12.1847
angles: 90.00 90.00 90.00
With the nearest neighbours (Å) after each atom.
Element x y z (fractional)
1 Ce 0.0000 0.0000 0.0000  12 Pd 2.87-2.96
2 Hf 0.0000 0.0000 0.3364  12 Pd 2.81-2.87
3 Hf 0.0000 0.0000 0.6636  12 Pd 2.81-2.87
4 Pd 0.5000 0.5000 0.0000  4 Ce 2.87, 8 Pd 2.96
5 Pd 0.5000 0.5000 0.3390  8 Pd 2.82-2.83, 4 Hf 2.87
6 Pd 0.5000 0.5000 0.6610  8 Pd 2.82-2.83, 4 Hf 2.87
7 Pd 0.5000 0.0000 0.1769  2 Hf 2.81, 8 Pd 2.83-2.96, 2 Ce 2.96
8 Pd 0.5000 0.0000 0.5000  8 Pd 2.82-2.87, 4 Hf 2.85
9 Pd 0.5000 0.0000 0.8231  2 Hf 2.81, 8 Pd 2.83-2.96, 2 Ce 2.96
10 Pd 0.0000 0.5000 0.1769  2 Hf 2.81, 8 Pd 2.83-2.96, 2 Ce 2.96
11 Pd 0.0000 0.5000 0.5000  8 Pd 2.82-2.87, 4 Hf 2.85
12 Pd 0.0000 0.5000 0.8231  2 Hf 2.81, 8 Pd 2.83-2.96, 2 Ce 2.96